Cs3CdSb2O8 after structural relaxation. Source: Alexandria via LeMat-Bulk, functional PBE-GGA.

Lattice parameters (Å, degrees): 6.404 6.404 8.543 90.00 90.00 120.00
Atoms (fractional coordinates):
Cs 0.000 0.000 0.000
Cs 0.333 0.667 0.709
Cs 0.667 0.333 0.291
Cd 0.000 0.000 0.500
Sb 0.333 0.667 0.270
Sb 0.667 0.333 0.730
O 0.168 0.336 0.334
O 0.168 0.832 0.334
O 0.333 0.667 0.047
O 0.336 0.168 0.666
O 0.664 0.832 0.334
O 0.667 0.333 0.953
O 0.832 0.168 0.666
O 0.832 0.664 0.666

Computed properties:
The crystal system is trigonal. For the density of states at the Fermi level, the calculation gives 9.9 states/eV/f.u.

Cs2CdSb2O6 after structural relaxation. Source: Alexandria via LeMat-Bulk, functional PBE-GGA.

Lattice parameters (Å, degrees): 6.488 6.488 7.451 115.58 115.58 58.77
Atoms (fractional coordinates):
Cs 0.208 0.208 0.174
Cs 0.792 0.792 0.826
Cd 0.000 0.000 0.500
Sb 0.445 0.445 0.776
Sb 0.555 0.555 0.224
O 0.224 0.721 0.259
O 0.252 0.252 0.633
O 0.279 0.776 0.741
O 0.721 0.224 0.259
O 0.748 0.748 0.367
O 0.776 0.279 0.741

Computed properties:
The crystal system is monoclinic.

CsScCdO3 after structural relaxation. Source: Alexandria via LeMat-Bulk, functional PBE-GGA.

Lattice parameters (Å, degrees): 6.427 6.427 5.992 90.00 90.00 124.12
Atoms (fractional coordinates):
Cs 0.243 0.757 0.750
Cs 0.757 0.243 0.250
Sc 0.441 0.559 0.250
Sc 0.559 0.441 0.750
Cd 0.074 0.926 0.250
Cd 0.926 0.074 0.750
O 0.270 0.270 0.000
O 0.270 0.270 0.500
O 0.270 0.730 0.250
O 0.730 0.270 0.750
O 0.730 0.730 0.000
O 0.730 0.730 0.500

Computed properties:
The crystal system is orthorhombic. For the density of states at the Fermi level, the calculation gives 0.0 states/eV/f.u.

Cs2Cd2Se2O after structural relaxation. Source: Alexandria via LeMat-Bulk, functional PBE-GGA.

Lattice parameters (Å, degrees): 7.163 7.163 8.431 119.63 119.63 35.92
Atoms (fractional coordinates):
Cs 0.052 0.052 0.300
Cs 0.948 0.948 0.700
Cd 0.324 0.324 0.931
Cd 0.676 0.676 0.069
Se 0.304 0.304 0.247
Se 0.696 0.696 0.753
O 0.500 0.500 0.000

Computed properties:
The crystal system is monoclinic.

CsCd2Se2O6 after structural relaxation. Source: Alexandria via LeMat-Bulk, functional PBE-GGA.

Lattice parameters (Å, degrees): 5.131 6.626 7.539 107.98 93.04 109.52
Atoms (fractional coordinates):
Cs 0.000 0.000 0.000
Cd 0.392 0.761 0.503
Cd 0.608 0.239 0.497
Se 0.222 0.474 0.786
Se 0.778 0.526 0.214
O 0.130 0.573 0.212
O 0.214 0.337 0.547
O 0.373 0.756 0.800
O 0.627 0.244 0.200
O 0.786 0.663 0.453
O 0.870 0.427 0.788

Computed properties:
The crystal system is triclinic. For the density of states at the Fermi level, the calculation gives 0.5 states/eV/f.u.

CsCdSe2O6 after structural relaxation. Source: Alexandria via LeMat-Bulk, functional PBE-GGA.

Lattice parameters (Å, degrees): 7.392 7.392 6.926 101.38 101.38 95.58
Atoms (fractional coordinates):
Cs 0.189 0.811 0.750
Cs 0.811 0.189 0.250
Cd 0.416 0.584 0.250
Cd 0.584 0.416 0.750
Se 0.096 0.319 0.839
Se 0.319 0.096 0.339
Se 0.681 0.904 0.661
Se 0.904 0.681 0.161
O 0.075 0.552 0.241
O 0.123 0.175 0.629
O 0.175 0.123 0.129
O 0.310 0.472 0.911
O 0.448 0.925 0.259
O 0.472 0.310 0.411
O 0.528 0.690 0.589
O 0.552 0.075 0.741
O 0.690 0.528 0.089
O 0.825 0.877 0.871
O 0.877 0.825 0.371
O 0.925 0.448 0.759

Computed properties:
The crystal system is monoclinic. For the density of states at the Fermi level, the calculation gives 3.4 states/eV/f.u.

Cs2CdSi2O6 after structural relaxation. Source: Alexandria via LeMat-Bulk, functional PBE-GGA.

Lattice parameters (Å, degrees): 7.403 7.403 7.403 48.08 48.08 48.08
Atoms (fractional coordinates):
Cs 0.209 0.209 0.209
Cs 0.791 0.791 0.791
Cd 0.000 0.000 0.000
Si 0.402 0.402 0.402
Si 0.598 0.598 0.598
O 0.253 0.253 0.709
O 0.253 0.709 0.253
O 0.291 0.747 0.747
O 0.709 0.253 0.253
O 0.747 0.291 0.747
O 0.747 0.747 0.291

Computed properties:
The crystal system is trigonal. For the density of states at the Fermi level, the calculation gives 0.0 states/eV/f.u.

Cs2SmCd2O4 after structural relaxation. Source: Alexandria via LeMat-Bulk, functional PBE-GGA.

Lattice parameters (Å, degrees): 8.080 8.080 7.267 103.27 103.27 26.04
Atoms (fractional coordinates):
Cs 0.123 0.123 0.060
Cs 0.877 0.877 0.940
Sm 0.000 0.000 0.500
Cd 0.320 0.320 0.460
Cd 0.680 0.680 0.540
O 0.149 0.149 0.689
O 0.454 0.454 0.670
O 0.546 0.546 0.330
O 0.851 0.851 0.311

Computed properties:
The crystal system is monoclinic. For the density of states at the Fermi level, the calculation gives 2.1 states/eV/f.u.

Cs2CdSnO4 after structural relaxation. Source: Alexandria via LeMat-Bulk, functional PBE-GGA.

Lattice parameters (Å, degrees): 6.246 6.246 6.246 117.93 117.93 93.63
Atoms (fractional coordinates):
Cs 0.000 0.000 0.000
Cs 0.750 0.250 0.500
Cd 0.250 0.750 0.500
Sn 0.500 0.500 0.000
O 0.246 0.604 0.098
O 0.396 0.494 0.642
O 0.506 0.148 0.902
O 0.852 0.754 0.358

Computed properties:
The crystal system is tetragonal. For the density of states at the Fermi level, the calculation gives 0.0 states/eV/f.u.

Cs2SrCd2O4 after structural relaxation. Source: Alexandria via LeMat-Bulk, functional PBE-GGA.

Lattice parameters (Å, degrees): 7.662 7.662 7.216 107.96 107.96 29.33
Atoms (fractional coordinates):
Cs 0.125 0.125 0.015
Cs 0.875 0.875 0.985
Sr 0.000 0.000 0.500
Cd 0.332 0.332 0.535
Cd 0.668 0.668 0.465
O 0.199 0.199 0.642
O 0.479 0.479 0.716
O 0.521 0.521 0.284
O 0.801 0.801 0.358

Computed properties:
The crystal system is monoclinic.

Number 1: formation energy from raw total energies -1705 kJ/mol of formula units, VASP energy -4.93 eV/atom, calculated volume 303 Å³/f.u.. Number 2: formation energy from raw total energies -1316 kJ/mol of formula units, VASP energy -4.93 eV/atom, calculated volume 233 Å³/f.u.. Number 3: formation energy from raw total energies -1224 kJ/mol of formula units, VASP energy -5.94 eV/atom, calculated volume 102 Å³/f.u.. Number 4: formation energy from raw total energies -685 kJ/mol of formula units, VASP energy -3.22 eV/atom, calculated volume 217 Å³/f.u.. Number 5: formation energy from raw total energies -1056 kJ/mol of formula units, VASP energy -4.58 eV/atom, calculated volume 226 Å³/f.u.. Number 6: formation energy from raw total energies -932 kJ/mol of formula units, VASP energy -4.81 eV/atom, calculated volume 180 Å³/f.u.. Number 7: formation energy from raw total energies -2092 kJ/mol of formula units, VASP energy -5.90 eV/atom, calculated volume 206 Å³/f.u.. Number 8: formation energy from raw total energies -1364 kJ/mol of formula units, VASP energy -4.69 eV/atom, calculated volume 202 Å³/f.u.. Number 9: formation energy from raw total energies -1089 kJ/mol of formula units, VASP energy -4.72 eV/atom, calculated volume 177 Å³/f.u.. Number 10: formation energy from raw total energies -1213 kJ/mol of formula units, VASP energy -4.18 eV/atom, calculated volume 197 Å³/f.u..